# AcScRh2, relaxed, DFT PBE
data_AcScRh2
_symmetry_space_group_name_H-M 'P 4/m m m'
_symmetry_Int_Tables_number 123
_symmetry_space_group_name_Hall '-P 4 2'
_cell_length_a 3.416
_cell_length_b 3.416
_cell_length_c 7.174
_cell_angle_alpha 90.00
_cell_angle_beta 90.00
_cell_angle_gamma 90.00
loop_
_atom_site_label
_atom_site_type_symbol
_atom_site_fract_x
_atom_site_fract_y
_atom_site_fract_z
Ac1 Ac 0.000 0.000 0.000
Sc1 Sc 0.000 0.000 0.500
Rh1 Rh 0.500 0.500 0.292
# **Total energy**: -6.939 eV/atom
# **Energy above the most stable polymorph in this dataset**: 0 meV per atom
# **M_tot**: 0.0 μB/f.u.
# **DFT formation energy**: -0.653 eV/atom

# K3Zr2NiSe6, relaxed, DFT PBE
data_K3Zr2NiSe6
_symmetry_space_group_name_H-M 'C 1 2/m 1'
_symmetry_Int_Tables_number 12
_cell_length_a 6.868
_cell_length_b 11.892
_cell_length_c 7.939
_cell_angle_alpha 90.00
_cell_angle_beta 106.82
_cell_angle_gamma 90.00
loop_
_symmetry_equiv_pos_as_xyz
'x,y,z'
'-x,-y,-z'
'-x,y,-z'
'x,-y,z'
'x+1/2,y+1/2,z'
'-x+1/2,-y+1/2,-z'
'-x+1/2,y+1/2,-z'
'x+1/2,-y+1/2,z'
loop_
_atom_site_label
_atom_site_type_symbol
_atom_site_fract_x
_atom_site_fract_y
_atom_site_fract_z
K1 K 0.000 0.000 0.000
K2 K 0.000 0.332 0.000
Zr1 Zr 0.000 0.166 0.500
Ni1 Ni 0.000 0.500 0.500
Se1 Se 0.227 0.337 0.692
Se2 Se 0.237 0.000 0.694
# **Total energy**: -5.018 eV/atom
# **Formation energy from raw total energies**: -1.094 eV per atom
# **M_tot**: 1.0 μB/f.u.